A plane-wave DFT calculation with PBE was carried out for crystalline YGeBiO6 at its relaxed geometry.

a = 5.400 Å, b = 5.400 Å, c = 4.590 Å
α = 90.00°, β = 90.00°, γ = 120.00°
Atoms (fractional coordinates):
Y1 0.000 0.000 0.000
Ge1 0.333 0.667 0.000
Bi1 0.667 0.333 0.500
O1 0.027 0.373 0.238
O2 0.027 0.654 0.762
O3 0.346 0.373 0.762
O4 0.346 0.973 0.238
O5 0.627 0.654 0.238
O6 0.627 0.973 0.762

## Properties
Calculated total energy, eV/atom: -6.6222
ΔE_f (raw), meV/atom: -1654